LuBNO | PBE-GGA | optimized geometry

Calculated values
Magnetization (μB per atom): 0.00
Total energy (Ry per atom): -0.55695

Structure (POSCAR):
```
LuBNO
1.0
3.625 -4.043 0.000
3.625 4.043 0.000
-0.001 0.000 2.802
Lu O B N
2 2 2 2
Cartesian
2.844 1.920 1.401 Lu
2.844 -1.920 1.401 Lu
4.482 1.367 0.001 O
4.482 -1.367 0.001 O
5.222 0.000 0.002 B
1.726 0.000 2.799 B
1.414 0.000 1.401 N
5.982 0.000 1.399 N
```

Zn2FeCoCu4 | PBE-GGA | optimized geometry

Calculated values
Magnetization (μB per atom): 0.47
Total energy (Ry per atom): -0.29287
Energy relative to the elements (eV per atom): 0.12

Structure (POSCAR):
```
Zn2FeCoCu4
1.0
4.075 0.000 0.000
0.000 4.075 0.000
0.000 0.000 5.758
Cu Fe Co Zn
4 1 1 2
Cartesian
0.000 2.038 4.317 Cu
2.038 0.000 4.317 Cu
2.038 0.000 1.441 Cu
0.000 2.038 1.441 Cu
2.038 2.038 0.000 Fe
0.000 0.000 2.879 Co
2.038 2.038 2.879 Zn
0.000 0.000 0.000 Zn
```

La5ZnPb3 | PBE-GGA | optimized geometry

Calculated values
Magnetization (μB per atom): 0.11
Total energy (Ry per atom): -0.34252

Structure (POSCAR):
```
La5ZnPb3
1.0
9.859 0.000 0.000
-4.930 8.538 0.000
0.000 0.000 6.888
La Pb Zn
10 6 2
Cartesian
-3.588 6.215 5.166 La
1.341 2.323 5.166 La
2.682 0.000 1.722 La
0.000 5.692 0.000 La
7.177 0.000 5.166 La
3.588 6.215 1.722 La
4.930 2.846 0.000 La
0.000 5.692 3.444 La
-1.341 2.323 1.722 La
4.930 2.846 3.444 La
6.168 0.000 1.722 Pb
1.846 3.197 1.722 Pb
-3.084 5.342 1.722 Pb
3.691 0.000 5.166 Pb
-1.846 3.197 5.166 Pb
3.084 5.342 5.166 Pb
0.000 0.000 3.444 Zn
0.000 0.000 0.000 Zn
```